Entry from the Alexandria database: a crystal of Mn3SiH relaxed with PBEsol (meta-GGA SCAN).

Results
VASP energy = -14.0259 eV per atom
M_tot = 6.09 μB per cell
crystal system = cubic
volume = 46.9 Å³ per cell
D(E_F) = 0.203 states/eV per atom

Cell: 3.6050 3.6050 3.6050 Å, 90.00 90.00 90.00°
Each line ends with the local moment (μB).
Positions (direct):
1 Mn 0.0000 0.5000 0.5000  2.09
2 Mn 0.5000 0.0000 0.5000  2.09
3 Mn 0.5000 0.5000 0.0000  2.09
4 H 0.5000 0.5000 0.5000  -0.03
5 Si 0.0000 0.0000 0.0000  -0.19

=====

Entry from the Alexandria database: a crystal of MnIr2W relaxed with PBEsol (meta-GGA SCAN).

Results
energy relative to the elements = -143 meV/atom
M_tot = 5.43 μB per cell
E above lowest polymorph = 257 meV per atom
crystal system = cubic
volume = 57.7 Å³ per cell
D(E_F) = 0.920 states/eV per atom

Cell: 4.3375 4.3375 4.3375 Å, 60.00 60.00 60.00°
Each line ends with the local moment (μB).
Positions (direct):
1 Mn 0.0000 0.0000 0.0000  3.84
2 W 0.5000 0.5000 0.5000  0.05
3 Ir 0.7500 0.7500 0.7500  0.73
4 Ir 0.2500 0.2500 0.2500  0.73

=====

Entry from the Alexandria database: a crystal of Tb2Re3Si5 relaxed with PBEsol (meta-GGA SCAN).

Results
ΔE_f (raw) = -0.62 eV per atom
M_tot = 0.00 μB per cell
crystal system = tetragonal
volume = 651.6 Å³ per cell
D(E_F) = 0.388 states/eV per atom

Cell: 5.4745 10.9100 10.9100 Å, 90.00 90.00 90.00°
Positions (direct):
1 Si 0.5000 0.6861 0.9715
2 Si 0.0000 0.8139 0.4715
3 Si 0.7500 0.1720 0.3280
4 Si 0.2584 0.5000 0.5000
5 Si 0.2500 0.8280 0.6720
6 Si 0.2500 0.1720 0.3280
7 Si 0.0000 0.1861 0.5285
8 Si 0.0000 0.4715 0.1861
9 Si 0.2500 0.6720 0.1720
10 Si 0.0000 0.5285 0.8139
11 Si 0.7500 0.8280 0.6720
12 Si 0.5000 0.0285 0.6861
13 Si 0.2416 0.0000 0.0000
14 Si 0.5000 0.3139 0.0285
15 Si 0.2500 0.3280 0.8280
16 Si 0.7500 0.3280 0.8280
17 Si 0.5000 0.9715 0.3139
18 Si 0.7584 0.0000 0.0000
19 Si 0.7500 0.6720 0.1720
20 Si 0.7416 0.5000 0.5000
21 Re 0.5000 0.1472 0.8773
22 Re 0.7500 0.5000 0.0000
23 Re 0.0000 0.3773 0.6472
24 Re 0.0000 0.3528 0.3773
25 Re 0.0000 0.6472 0.6227
26 Re 0.5000 0.1227 0.1472
27 Re 0.5000 0.8528 0.1227
28 Re 0.0000 0.6227 0.3528
29 Re 0.2500 0.0000 0.5000
30 Re 0.2500 0.5000 0.0000
31 Re 0.7500 0.0000 0.5000
32 Re 0.5000 0.8773 0.8528
33 Tb 0.0000 0.0775 0.7629
34 Tb 0.5000 0.7371 0.4225
35 Tb 0.0000 0.2371 0.0775
36 Tb 0.0000 0.7629 0.9225
37 Tb 0.0000 0.9225 0.2371
38 Tb 0.5000 0.5775 0.7371
39 Tb 0.5000 0.2629 0.5775
40 Tb 0.5000 0.4225 0.2629

=====

Entry from the Alexandria database: a crystal of BaCa2Zn relaxed with PBEsol (meta-GGA SCAN).

Results
energy relative to the elements = -106 meV/atom
M_tot = 0.24 μB per cell
crystal system = tetragonal
volume = 142.7 Å³ per cell
D(E_F) = 0.987 states/eV per atom

Cell: 3.8746 3.8746 9.5064 Å, 90.00 90.00 90.00°
Positions (direct):
1 Zn 0.0000 0.0000 0.4691
2 Ca 0.0000 0.0000 0.0281
3 Ca 0.5000 0.5000 0.3118
4 Ba 0.5000 0.5000 0.6910

=====

Entry from the Alexandria database: a crystal of YAlAg4 relaxed with PBEsol (meta-GGA SCAN).

Results
energy relative to the elements = -196 meV/atom
M_tot = 0.00 μB per cell
crystal system = cubic
volume = 112.6 Å³ per cell
D(E_F) = 0.180 states/eV per atom

Cell: 5.4210 5.4210 5.4210 Å, 60.00 60.00 60.00°
Positions (direct):
1 Ag 0.3752 0.3752 0.8743
2 Ag 0.8743 0.3752 0.3752
3 Ag 0.3752 0.3752 0.3752
4 Ag 0.3752 0.8743 0.3752
5 Y 0.0000 0.0000 0.0000
6 Al 0.7500 0.7500 0.7500

=====

Entry from the Alexandria database: a crystal of Ce3NdC8 relaxed with PBEsol (meta-GGA SCAN).

Results
energy relative to the elements = -254 meV/atom
M_tot = 0.89 μB per cell
crystal system = tetragonal
volume = 174.4 Å³ per cell
D(E_F) = 0.702 states/eV per atom

Cell: 3.7194 3.7194 12.6093 Å, 90.00 90.00 90.00°
Each line ends with the local moment (μB).
Positions (direct):
1 C 0.0000 0.0000 0.2009  0.02
2 C 0.5000 0.5000 0.5522  -0.03
3 C 0.5000 0.5000 0.9484  -0.01
4 C 0.0000 0.0000 0.7991  0.02
5 C 0.0000 0.0000 0.3049  0.03
6 C 0.5000 0.5000 0.4478  -0.03
7 C 0.0000 0.0000 0.6951  0.03
8 C 0.5000 0.5000 0.0516  -0.01
9 Nd 0.0000 0.0000 0.0000  0.00
10 Ce 0.0000 0.0000 0.5000  -0.49
11 Ce 0.5000 0.5000 0.2522  0.58
12 Ce 0.5000 0.5000 0.7478  0.58

=====

Question: Among the records above, which one has the highest M_tot?
Answer: Mn3SiH